one | DFT (PBE-GGA) results for a relaxed structure of SmNbRh2.

Cell lengths 3.0853, 4.8997, 4.8997 Å; angles 90.00, 90.00, 90.00 degrees
Atoms (fractional coordinates):
Rh 0.0000 0.5000 0.0000
Rh 0.0000 0.0000 0.5000
Sm 0.5000 0.5000 0.5000
Nb 0.5000 0.0000 0.0000

Values from the calculation:
Calculated volume (Å³ per cell): 74.1
SG: No. 123

two | DFT (PBE-GGA) results for a relaxed structure of SmNbRh2.

Cell lengths 3.2231, 3.2231, 7.2943 Å; angles 90.00, 90.00, 90.00 degrees
Atoms (fractional coordinates):
Sm 0.5000 0.5000 0.5000
Nb 0.5000 0.5000 0.0000
Rh 0.0000 0.0000 0.2022
Rh 0.0000 0.0000 0.7978

Values from the calculation:
Calculated volume (Å³ per cell): 75.8
SG: No. 123

three | DFT (PBE-GGA) results for a relaxed structure of SmNbRh2.

Cell lengths 4.3741, 4.3741, 5.5408 Å; angles 66.75, 66.75, 60.00 degrees
Atoms (fractional coordinates):
Rh 0.7159 0.7159 0.8523
Rh 0.2841 0.2841 0.1477
Nb 0.0000 0.0000 0.0000
Sm 0.5000 0.5000 0.5000

Values from the calculation:
Calculated volume (Å³ per cell): 81.7
SG: No. 166

Energetically preferred structure: two | next structure: +67 meV per atom

one | DFT (PBE-GGA) results for a relaxed structure of SrNb3Rh.

Cell lengths 4.9785, 4.9785, 4.9785 Å; angles 90.00, 90.00, 90.00 degrees
Atoms (fractional coordinates):
Nb 0.0000 0.0000 0.5000
Nb 0.0000 0.5000 0.0000
Nb 0.5000 0.0000 0.0000
Rh 0.0000 0.0000 0.0000
Sr 0.5000 0.5000 0.5000

Values from the calculation:
Calculated volume (Å³ per cell): 123.4
SG: No. 221

two | DFT (PBE-GGA) results for a relaxed structure of SrNb3Rh.

Cell lengths 4.7691, 4.7691, 4.7691 Å; angles 90.00, 90.00, 90.00 degrees
Atoms (fractional coordinates):
Nb 0.0000 0.5000 0.0000
Nb 0.5000 0.0000 0.0000
Nb 0.0000 0.0000 0.5000
Sr 0.0000 0.0000 0.0000
Rh 0.5000 0.5000 0.5000

Values from the calculation:
Calculated volume (Å³ per cell): 108.5
SG: No. 221

Energetically preferred structure: one | next structure: +1784 meV per atom

one | DFT (PBE-GGA) results for a relaxed structure of SrNb2Rh2.

Cell lengths 8.1550, 8.1550, 2.8809 Å; angles 90.00, 90.00, 90.00 degrees
Atoms (fractional coordinates):
Sr 0.5000 0.5000 0.0000
Sr 0.0000 0.0000 0.0000
Rh 0.3263 0.1737 0.5000
Rh 0.8263 0.3263 0.5000
Rh 0.6737 0.8263 0.5000
Rh 0.1737 0.6737 0.5000
Nb 0.1177 0.3823 0.0000
Nb 0.8823 0.6177 0.0000
Nb 0.3823 0.8823 0.0000
Nb 0.6177 0.1177 0.0000

Values from the calculation:
Calculated volume (Å³ per cell): 191.6
SG: No. 127

two | DFT (PBE-GGA) results for a relaxed structure of SrNb2Rh2.

Cell lengths 4.7067, 4.7067, 5.9547 Å; angles 66.72, 66.72, 90.00 degrees
Atoms (fractional coordinates):
Nb 0.6389 0.6389 0.7222
Nb 0.3611 0.3611 0.2778
Rh 0.2500 0.7500 0.5000
Rh 0.7500 0.2500 0.5000
Sr 0.0000 0.0000 0.0000

Values from the calculation:
Calculated volume (Å³ per cell): 109.4
SG: No. 139

three | DFT (PBE-GGA) results for a relaxed structure of SrNb2Rh2.

Cell lengths 4.5026, 4.5026, 6.2346 Å; angles 68.83, 68.83, 90.00 degrees
Atoms (fractional coordinates):
Rh 0.3695 0.3695 0.2609
Rh 0.6305 0.6305 0.7391
Nb 0.7500 0.2500 0.5000
Nb 0.2500 0.7500 0.5000
Sr 0.0000 0.0000 0.0000

Values from the calculation:
Calculated volume (Å³ per cell): 108.7
SG: No. 139

Energetically preferred structure: three | next structure: +129 meV per atom